1.
Computed, not measured: a geometry-optimized Pu2SnSb4 structure at the GGA-PBE level of DFT.

Cell and atoms, written as POSCAR:
```
Pu2SnSb4
1.0
4.3505 0.0000 0.0000
0.0000 4.3505 0.0000
0.0000 0.0000 10.6496
Pu Sn Sb
2 1 4
direct
0.0000 0.5000 0.2278
0.5000 0.0000 0.7722
0.0000 0.0000 0.5000
0.0000 0.0000 0.0000
0.0000 0.5000 0.6989
0.5000 0.0000 0.3011
0.5000 0.5000 0.0000
```

Results
Energy ... -7.390 eV/atom
Energy relative to the elements, uncorrected ... -367 meV/atom
Space-group type ... P-4m2

---

2.
Computed, not measured: a geometry-optimized Pu6SnSb2 structure at the GGA-PBE level of DFT.

Cell and atoms, written as POSCAR:
```
Pu6SnSb2
1.0
8.8686 0.0000 0.0000
-4.4343 7.6804 0.0000
0.0000 0.0000 3.3924
Pu Sn Sb
6 1 2
direct
0.0000 0.3341 0.0000
0.0000 0.6659 0.0000
0.3341 0.0000 0.0000
0.3341 0.3341 0.0000
0.6659 0.0000 0.0000
0.6659 0.6659 0.0000
0.0000 0.0000 0.5000
0.3333 0.6667 0.5000
0.6667 0.3333 0.5000
```

Results
Energy ... -11.116 eV/atom
Energy relative to the elements, uncorrected ... -200 meV/atom
Space-group type ... P6/mmm

---

3.
Computed, not measured: a geometry-optimized PuSn2Sb structure at the GGA-PBE level of DFT.

Cell and atoms, written as POSCAR:
```
PuSn2Sb
1.0
4.5893 0.0000 0.0000
0.0000 4.5893 0.0000
0.0000 0.0000 4.8779
Pu Sn Sb
1 2 1
direct
0.0000 0.0000 0.0000
0.0000 0.5000 0.5000
0.5000 0.0000 0.5000
0.5000 0.5000 0.0000
```

Results
Energy ... -6.978 eV/atom
Energy relative to the elements, uncorrected ... -363 meV/atom
Excess energy over the best structure of this formula in the dataset ... 0 meV per atom
Space-group type ... P4/mmm

---

4.
Computed, not measured: a geometry-optimized PuSn2Sb structure at the GGA-PBE level of DFT.

Cell and atoms, written as POSCAR:
```
PuSn2Sb
1.0
3.2877 0.0000 0.0000
-1.6438 2.8472 0.0000
0.0000 0.0000 36.7294
Pu Sn Sb
3 6 3
direct
0.0000 0.0000 0.0000
0.3333 0.6667 0.6667
0.6667 0.3333 0.3333
0.0000 0.0000 0.0881
0.0000 0.0000 0.9119
0.3333 0.6667 0.5786
0.3333 0.6667 0.7548
0.6667 0.3333 0.2452
0.6667 0.3333 0.4214
0.0000 0.0000 0.5000
0.3333 0.6667 0.1667
0.6667 0.3333 0.8333
```

Results
Energy ... -6.342 eV/atom
Energy relative to the elements, uncorrected ... 273 meV/atom
Excess energy over the best structure of this formula in the dataset ... 636 meV per atom
Space-group type ... R-3m

---

The lowest energy relative to the elements, uncorrected belongs to which entry?
Pu2SnSb4

---

What did the third record say?
Computed, not measured: a geometry-optimized PuSn2Sb structure at the GGA-PBE level of DFT.

Cell and atoms, written as POSCAR:
```
PuSn2Sb
1.0
4.5893 0.0000 0.0000
0.0000 4.5893 0.0000
0.0000 0.0000 4.8779
Pu Sn Sb
1 2 1
direct
0.0000 0.0000 0.0000
0.0000 0.5000 0.5000
0.5000 0.0000 0.5000
0.5000 0.5000 0.0000
```

Results
Energy ... -6.978 eV/atom
Energy relative to the elements, uncorrected ... -363 meV/atom
Excess energy over the best structure of this formula in the dataset ... 0 meV per atom
Space-group type ... P4/mmm

---

Copy entry 3 word for word.
Computed, not measured: a geometry-optimized PuSn2Sb structure at the GGA-PBE level of DFT.

Cell and atoms, written as POSCAR:
```
PuSn2Sb
1.0
4.5893 0.0000 0.0000
0.0000 4.5893 0.0000
0.0000 0.0000 4.8779
Pu Sn Sb
1 2 1
direct
0.0000 0.0000 0.0000
0.0000 0.5000 0.5000
0.5000 0.0000 0.5000
0.5000 0.5000 0.0000
```

Results
Energy ... -6.978 eV/atom
Energy relative to the elements, uncorrected ... -363 meV/atom
Excess energy over the best structure of this formula in the dataset ... 0 meV per atom
Space-group type ... P4/mmm